Fe8CoH6, relaxed, DFT PBE; M_tot = 1.28 μB per atom; theoretical density = 7.41 g cm⁻³; calculated total energy = -6.308 eV per atom; SG = R-3
1.0
2.270 1.310 6.431
-2.270 1.310 6.431
0.000 -2.621 6.431
Fe Co H
8 1 6
Cartesian
-0.757 -1.308 7.474
0.000 0.000 3.213
-1.511 0.002 11.818
-0.754 1.309 7.474
0.754 -1.309 11.818
1.511 -0.002 7.474
0.000 0.000 16.078
0.757 1.308 11.818
0.000 0.000 9.646
-1.508 0.000 8.610
-0.754 -1.305 10.682
0.754 -1.306 8.610
-0.754 1.306 10.682
0.754 1.305 8.610
1.508 0.000 10.682

FeCoH2, relaxed, DFT PBE; M_tot = 0.87 μB per atom; theoretical density = 6.70 g cm⁻³; polymorph energy (0 for the lowest one) = 130 meV/atom; calculated total energy = -5.452 eV per atom; SG = R-3m
1.0
2.682 0.000 0.000
-1.341 2.323 0.000
0.000 0.000 13.930
Fe Co H
3 3 6
Cartesian
0.000 0.000 0.000
0.000 1.548 9.287
1.341 0.774 4.643
0.000 0.000 6.965
0.000 1.548 2.322
1.341 0.774 11.609
0.000 0.000 1.683
0.000 0.000 12.248
0.000 1.548 7.604
0.000 1.548 10.970
1.341 0.774 2.961
1.341 0.774 6.326

FeCoH2, relaxed, DFT PBE; M_tot = 1.02 μB per atom; theoretical density = 6.75 g cm⁻³; polymorph energy (0 for the lowest one) = 472 meV/atom; calculated total energy = -5.110 eV per atom; SG = Fm-3m
1.0
4.861 0.000 0.000
0.000 4.861 0.000
0.000 0.000 4.861
Fe Co H
4 4 8
Cartesian
0.000 0.000 0.000
0.000 2.430 2.430
2.430 0.000 2.430
2.430 2.430 0.000
0.000 0.000 2.430
0.000 2.430 0.000
2.430 0.000 0.000
2.430 2.430 2.430
1.215 1.215 1.215
1.215 1.215 3.646
1.215 3.646 1.215
1.215 3.646 3.646
3.646 1.215 1.215
3.646 1.215 3.646
3.646 3.646 1.215
3.646 3.646 3.646

FeCoH, relaxed, DFT PBE; M_tot = 1.16 μB per atom; theoretical density = 8.00 g cm⁻³; polymorph energy (0 for the lowest one) = 13 meV/atom; calculated total energy = -6.307 eV per atom; SG = P2_1/m
1.0
4.206 0.000 0.000
0.000 2.568 0.000
-0.009 0.000 4.451
Fe Co H
2 2 2
Cartesian
0.991 0.642 1.847
3.206 1.926 2.604
0.983 1.926 4.086
3.214 0.642 0.365
2.095 1.926 1.101
2.102 0.642 3.350

Fe2CoH, relaxed, DFT PBE; M_tot = 0.00 μB per atom; theoretical density = 7.79 g cm⁻³; polymorph energy (0 for the lowest one) = 723 meV/atom; calculated total energy = -6.097 eV per atom; SG = Fm-3m
1.0
5.271 0.000 0.000
0.000 5.271 0.000
0.000 0.000 5.271
Fe Co H
8 4 4
Cartesian
1.318 1.318 1.318
1.318 1.318 3.953
1.318 3.953 1.318
1.318 3.953 3.953
3.953 1.318 1.318
3.953 1.318 3.953
3.953 3.953 1.318
3.953 3.953 3.953
0.000 0.000 0.000
0.000 2.635 2.635
2.635 0.000 2.635
2.635 2.635 0.000
0.000 0.000 2.635
0.000 2.635 0.000
2.635 0.000 0.000
2.635 2.635 2.635

FeCoH, relaxed, DFT PBE; M_tot = 1.16 μB per atom; theoretical density = 8.01 g cm⁻³; polymorph energy (0 for the lowest one) = 3 meV/atom; calculated total energy = -6.317 eV per atom; SG = P3m1
1.0
2.576 0.000 0.000
-1.288 2.231 0.000
0.000 0.000 4.179
Fe Co H
1 1 1
Cartesian
0.000 0.000 0.000
0.000 1.487 2.205
1.288 0.744 1.097